[1]
PBE CeDy2Ir, optimized geometry; DFT formation energy = -481.9 meV/atom; energy relative to the lowest polymorph listed for this composition = 0.14 eV per formula unit
1.0
-2.550 2.324 1.589
1.938 -4.056 4.508
6.906 5.949 2.382
Ce Dy Ir
2 4 2
direct
0.421 0.842 0.250 Ce
0.579 0.158 0.750 Ce
0.142 0.283 0.433 Dy
0.858 0.717 0.567 Dy
0.858 0.717 0.933 Dy
0.142 0.283 0.067 Dy
0.754 0.507 0.250 Ir
0.246 0.493 0.750 Ir



[2]
PBE TbMgGa6, optimized geometry; DFT formation energy = -297.9 meV/atom
1.0
-3.461 2.429 0.463
-0.764 -1.808 3.773
4.662 5.922 3.781
Tb Mg Ga
1 1 6
direct
0.000 0.000 0.000 Tb
0.000 0.000 0.500 Mg
0.500 0.500 0.000 Ga
0.500 0.500 0.500 Ga
0.500 0.000 0.261 Ga
0.500 0.000 0.739 Ga
0.000 0.500 0.261 Ga
0.000 0.500 0.739 Ga



[3]
PBE K2Tl2I2O, optimized geometry; formation energy from raw total energies = -0.96 eV/atom
1.0
-3.101 2.686 -2.166
-0.961 -2.502 -6.695
-7.239 -4.887 -0.666
K Tl I O
2 2 2 1
direct
0.543 0.186 0.727 K
0.457 0.814 0.273 K
0.180 0.699 0.940 Tl
0.820 0.301 0.060 Tl
0.168 0.289 0.375 I
0.832 0.711 0.625 I
0.000 0.000 0.000 O



[4]
PBE CdPdAu2, optimized geometry; DFT formation energy = -22.0 meV/atom
1.0
-5.040 -3.698 0.095
4.463 1.535 4.100
2.858 5.533 0.551
Cd Pd Au
1 1 2
direct
0.000 0.500 0.500 Cd
0.000 0.000 0.000 Pd
0.000 0.244 0.244 Au
0.000 0.756 0.756 Au



| no. | total magnetic moment (μB per atom) |
| --- | --- |
| 1 | 0.32 |
| 2 | 0.00 |
| 3 | 0.00 |
| 4 | 0.00 |